(1)
TiTcNi (PBE-GGA, relaxed); E above lowest polymorph = 0.082 eV per atom; E_form = -0.59 eV/f.u.; DFT total energy = -0.6034 Ry per atom
1.0
-3.496 -2.398 1.662
-0.998 -4.167 -2.264
1.104 -4.147 2.448
Ni Tc Ti
2 2 2
Direct
0.547 0.646 0.664 Ni
0.346 0.788 0.169 Ni
0.911 0.973 0.648 Tc
0.250 0.287 0.653 Tc
0.634 0.142 0.149 Ti
0.965 0.488 0.155 Ti


(2)
FeReTe2 (PBE-GGA, relaxed); E above lowest polymorph = 0.820 eV per atom; DFT total energy = -0.4284 Ry per atom; formation energy without anion corrections = 0.97 eV/atom
1.0
-1.316 2.803 -4.560
-5.167 1.833 -0.564
3.957 0.090 3.836
Fe Re Te
1 1 2
Direct
0.500 0.500 0.000 Fe
0.750 0.250 0.500 Re
0.000 0.000 0.000 Te
0.250 0.750 0.500 Te